The following is a DFT calculation (PBE) of NdNbO4 after structural relaxation.

Structure (POSCAR):
```
NdNbO4
1.0
3.594 -3.698 0.000
3.594 3.698 0.000
0.000 0.000 3.323
Nd Nb O
1 1 4
Direct
0.000 0.000 0.000
0.500 0.500 0.500
0.227 0.227 0.500
0.326 0.674 0.000
0.674 0.326 0.000
0.773 0.773 0.500
```

Output
E_form (uncorrected) in eV/f.u.: -16.91
Electronic total energy in eV/cell: -51.58